Na3Cd3WO8 | PBE with a Hubbard U | optimized geometry

Output
- density (g/cm3) = 5.49
- final energy (eV for the cell shown) = -75.23

The structure in POSCAR format:
```
Na3Cd3WO8
1.0
3.3663 1.9436 5.5325
-3.3663 1.9436 5.5325
0.0000 -3.8871 5.5325
Na Cd W O
3 3 1 8
Direct
0.0000 0.5000 0.5000
0.5000 0.0000 0.5000
0.5000 0.5000 0.0000
0.0000 0.0000 0.5000
0.0000 0.5000 0.0000
0.5000 0.0000 0.0000
0.5000 0.5000 0.5000
0.2337 0.2337 0.2337
0.2937 0.2937 0.7058
0.2937 0.7058 0.2937
0.2942 0.7063 0.7063
0.7058 0.2937 0.2937
0.7063 0.2942 0.7063
0.7063 0.7063 0.2942
0.7663 0.7663 0.7663
```